a.
{
  "formula": "Ag2PtAu8",
  "functional": "PBE-GGA",
  "state": "relaxed",
  "n_ef_per_ev_cell": 3.066,
  "magmom_total_mub_per_atom": 0.000,
  "cell": [[7.482, -2.063, 0.000], [7.482, 2.063, 0.000], [-1.711, 0.000, 6.321]],
  "species": ["Ag", "Ag", "Pt", "Au", "Au", "Au", "Au", "Au", "Au", "Au", "Au"],
  "fractional_positions": [[0.136, 0.136, 0.181], [0.864, 0.864, 0.819], [0.500, 0.500, 0.000], [0.044, 0.044, 0.733], [0.227, 0.227, 0.637], [0.320, 0.320, 0.092], [0.410, 0.410, 0.550], [0.590, 0.590, 0.450], [0.680, 0.680, 0.908], [0.773, 0.773, 0.363], [0.956, 0.956, 0.267]]
}

b.
{
  "formula": "Ag2PtAu8",
  "functional": "PBE-GGA",
  "state": "relaxed",
  "n_ef_per_ev_cell": 3.341,
  "magmom_total_mub_per_atom": 0.000,
  "cell": [[3.961, -6.499, 0.000], [3.961, 6.499, 0.000], [-3.723, 0.000, 4.083]],
  "species": ["Ag", "Ag", "Pt", "Au", "Au", "Au", "Au", "Au", "Au", "Au", "Au"],
  "fractional_positions": [[0.196, 0.804, 0.000], [0.804, 0.196, 0.000], [0.500, 0.500, 0.500], [0.102, 0.102, 0.870], [0.177, 0.400, 0.667], [0.280, 0.720, 0.500], [0.400, 0.177, 0.667], [0.600, 0.823, 0.333], [0.720, 0.280, 0.500], [0.823, 0.600, 0.333], [0.898, 0.898, 0.130]]
}

Relative energy table, unit eV/atom: a 0.000; b 0.113